## w
# Pm5Nd4Mg2 | the Alexandria database | GGA-PBE | optimized geometry
data_Pm5Nd4Mg2
_chemical_formula_sum 'Pm5 Nd4 Mg2'
_symmetry_space_group_name_H-M 'P 1'
_symmetry_Int_Tables_number 1
_symmetry_space_group_name_Hall 'P 1'
_cell_length_a 11.6058
_cell_length_b 11.6058
_cell_length_c 8.8979
_cell_angle_alpha 93.33
_cell_angle_beta 93.33
_cell_angle_gamma 17.78
loop_
_atom_site_label
_atom_site_type_symbol
_atom_site_fract_x
_atom_site_fract_y
_atom_site_fract_z
Pm1 Pm 0.0000 0.0000 0.0000
Pm2 Pm 0.3165 0.3165 0.5306
Pm3 Pm 0.3707 0.3707 0.8988
Pm4 Pm 0.6293 0.6293 0.1012
Pm5 Pm 0.6835 0.6835 0.4694
Nd1 Nd 0.2120 0.2120 0.8220
Nd2 Nd 0.4286 0.4286 0.2875
Nd3 Nd 0.5714 0.5714 0.7125
Nd4 Nd 0.7880 0.7880 0.1780
Mg1 Mg 0.0557 0.0557 0.3734
Mg2 Mg 0.9443 0.9443 0.6266
# - magnetic moment (μB/cell) = 0.000
# - calculated volume (Å³ per atom) = 33.2


## x
# Pm5Nd4Mg2 | the Alexandria database | GGA-PBE | optimized geometry
data_Pm5Nd4Mg2
_chemical_formula_sum 'Pm5 Nd4 Mg2'
_symmetry_space_group_name_H-M 'P 1'
_symmetry_Int_Tables_number 1
_symmetry_space_group_name_Hall 'P 1'
_cell_length_a 8.8742
_cell_length_b 3.5119
_cell_length_c 11.6628
_cell_angle_alpha 90.00
_cell_angle_beta 94.18
_cell_angle_gamma 90.00
loop_
_atom_site_label
_atom_site_type_symbol
_atom_site_fract_x
_atom_site_fract_y
_atom_site_fract_z
Pm1 Pm 0.0000 0.0000 0.0000
Pm2 Pm 0.0692 0.0000 0.2946
Pm3 Pm 0.2953 0.0000 0.8320
Pm4 Pm 0.7047 0.0000 0.1680
Pm5 Pm 0.9308 0.0000 0.7054
Nd1 Nd 0.2186 0.5000 0.5480
Nd2 Nd 0.3518 0.5000 0.1149
Nd3 Nd 0.6482 0.5000 0.8851
Nd4 Nd 0.7814 0.5000 0.4520
Mg1 Mg 0.4470 0.0000 0.3685
Mg2 Mg 0.5530 0.0000 0.6315
# - magnetic moment (μB/cell) = 0.000
# - calculated volume (Å³ per atom) = 33.0


Relative stability in meV/atom, measured from the most stable structure: w 0; x 12


## w
# PmNd4Mg | the Alexandria database | GGA-PBE | optimized geometry
data_PmNd4Mg
_chemical_formula_sum 'Pm2 Nd8 Mg2'
_symmetry_space_group_name_H-M 'P 1'
_symmetry_Int_Tables_number 1
_symmetry_space_group_name_Hall 'P 1'
_cell_length_a 8.0412
_cell_length_b 8.0412
_cell_length_c 10.2433
_cell_angle_alpha 90.00
_cell_angle_beta 90.00
_cell_angle_gamma 143.20
loop_
_atom_site_label
_atom_site_type_symbol
_atom_site_fract_x
_atom_site_fract_y
_atom_site_fract_z
Pm1 Pm 0.1681 0.8319 0.5000
Pm2 Pm 0.8319 0.1681 0.0000
Nd1 Nd 0.0012 0.9988 0.2481
Nd2 Nd 0.1688 0.8312 0.9963
Nd3 Nd 0.3317 0.6683 0.2482
Nd4 Nd 0.4995 0.5005 0.9980
Nd5 Nd 0.5005 0.4995 0.4980
Nd6 Nd 0.6683 0.3317 0.7482
Nd7 Nd 0.8312 0.1688 0.4963
Nd8 Nd 0.9988 0.0012 0.7481
Mg1 Mg 0.3339 0.6661 0.7483
Mg2 Mg 0.6661 0.3339 0.2483
# - magnetic moment (μB/cell) = 0.000
# - calculated volume (Å³ per atom) = 33.1


## x
# PmNd4Mg | the Alexandria database | GGA-PBE | optimized geometry
data_PmNd4Mg
_chemical_formula_sum 'Pm1 Nd4 Mg1'
_symmetry_space_group_name_H-M 'P 1'
_symmetry_Int_Tables_number 1
_symmetry_space_group_name_Hall 'P 1'
_cell_length_a 3.6934
_cell_length_b 3.6934
_cell_length_c 14.6368
_cell_angle_alpha 90.00
_cell_angle_beta 90.00
_cell_angle_gamma 90.00
loop_
_atom_site_label
_atom_site_type_symbol
_atom_site_fract_x
_atom_site_fract_y
_atom_site_fract_z
Pm1 Pm 0.0000 0.0000 0.0000
Nd1 Nd 0.0000 0.0000 0.3509
Nd2 Nd 0.0000 0.0000 0.6491
Nd3 Nd 0.5000 0.5000 0.1767
Nd4 Nd 0.5000 0.5000 0.8233
Mg1 Mg 0.5000 0.5000 0.5000
# - magnetic moment (μB/cell) = 0.000
# - calculated volume (Å³ per atom) = 33.3


Relative stability in meV/atom, measured from the most stable structure: w 34; x 0


## w
# Pm3Nd6Mg | the Alexandria database | GGA-PBE | optimized geometry
data_Pm3Nd6Mg
_chemical_formula_sum 'Pm6 Nd12 Mg2'
_symmetry_space_group_name_H-M 'P 1'
_symmetry_Int_Tables_number 1
_symmetry_space_group_name_Hall 'P 1'
_cell_length_a 10.6498
_cell_length_b 12.0786
_cell_length_c 5.3812
_cell_angle_alpha 90.00
_cell_angle_beta 90.00
_cell_angle_gamma 90.00
loop_
_atom_site_label
_atom_site_type_symbol
_atom_site_fract_x
_atom_site_fract_y
_atom_site_fract_z
Pm1 Pm 0.0000 0.0000 0.0000
Pm2 Pm 0.1198 0.2183 0.5000
Pm3 Pm 0.3802 0.7183 0.0000
Pm4 Pm 0.5000 0.5000 0.5000
Pm5 Pm 0.6198 0.2817 0.0000
Pm6 Pm 0.8802 0.7817 0.5000
Nd1 Nd 0.0703 0.7475 0.0000
Nd2 Nd 0.1746 0.5812 0.5000
Nd3 Nd 0.2147 0.8871 0.5000
Nd4 Nd 0.2853 0.3871 0.0000
Nd5 Nd 0.3254 0.0812 0.0000
Nd6 Nd 0.4297 0.2475 0.5000
Nd7 Nd 0.5703 0.7525 0.5000
Nd8 Nd 0.6746 0.9188 0.0000
Nd9 Nd 0.7147 0.6129 0.0000
Nd10 Nd 0.7853 0.1129 0.5000
Nd11 Nd 0.8254 0.4188 0.5000
Nd12 Nd 0.9297 0.2525 0.0000
Mg1 Mg 0.0000 0.5000 0.0000
Mg2 Mg 0.5000 0.0000 0.5000
# - magnetic moment (μB/cell) = 0.000
# - calculated volume (Å³ per atom) = 34.6


## x
# Pm3Nd6Mg | the Alexandria database | GGA-PBE | optimized geometry
data_Pm3Nd6Mg
_chemical_formula_sum 'Pm6 Nd12 Mg2'
_symmetry_space_group_name_H-M 'P 1'
_symmetry_Int_Tables_number 1
_symmetry_space_group_name_Hall 'P 1'
_cell_length_a 10.1414
_cell_length_b 10.1414
_cell_length_c 9.5214
_cell_angle_alpha 90.00
_cell_angle_beta 90.00
_cell_angle_gamma 135.35
loop_
_atom_site_label
_atom_site_type_symbol
_atom_site_fract_x
_atom_site_fract_y
_atom_site_fract_z
Pm1 Pm 0.0403 0.9597 0.5000
Pm2 Pm 0.1233 0.3712 0.6681
Pm3 Pm 0.3712 0.1233 0.1681
Pm4 Pm 0.6288 0.8767 0.6681
Pm5 Pm 0.8767 0.6288 0.1681
Pm6 Pm 0.9597 0.0403 0.0000
Nd1 Nd 0.0488 0.4415 0.0278
Nd2 Nd 0.1949 0.3273 0.2999
Nd3 Nd 0.2096 0.7904 0.8289
Nd4 Nd 0.3273 0.1949 0.7999
Nd5 Nd 0.4415 0.0488 0.5278
Nd6 Nd 0.4556 0.5444 0.9936
Nd7 Nd 0.5444 0.4556 0.4936
Nd8 Nd 0.5585 0.9512 0.0278
Nd9 Nd 0.6727 0.8051 0.2999
Nd10 Nd 0.7904 0.2096 0.3289
Nd11 Nd 0.8051 0.6727 0.7999
Nd12 Nd 0.9512 0.5585 0.5278
Mg1 Mg 0.2814 0.7186 0.3014
Mg2 Mg 0.7186 0.2814 0.8014
# - magnetic moment (μB/cell) = 0.000
# - calculated volume (Å³ per atom) = 34.4


Relative stability in meV/atom, measured from the most stable structure: w 9; x 0


## w
# Pm2Nd6Mg | the Alexandria database | GGA-PBE | optimized geometry
data_Pm2Nd6Mg
_chemical_formula_sum 'Pm4 Nd12 Mg2'
_symmetry_space_group_name_H-M 'P 1'
_symmetry_Int_Tables_number 1
_symmetry_space_group_name_Hall 'P 1'
_cell_length_a 11.7134
_cell_length_b 11.7134
_cell_length_c 11.7134
_cell_angle_alpha 149.25
_cell_angle_beta 131.85
_cell_angle_gamma 58.22
loop_
_atom_site_label
_atom_site_type_symbol
_atom_site_fract_x
_atom_site_fract_y
_atom_site_fract_z
Pm1 Pm 0.1697 0.0484 0.2181
Pm2 Pm 0.3303 0.5484 0.8787
Pm3 Pm 0.6697 0.4516 0.1213
Pm4 Pm 0.8303 0.9516 0.7819
Nd1 Nd 0.0028 0.7268 0.0747
Nd2 Nd 0.0824 0.5824 0.5000
Nd3 Nd 0.1521 0.2268 0.7240
Nd4 Nd 0.3479 0.0719 0.0747
Nd5 Nd 0.4176 0.9176 0.5000
Nd6 Nd 0.4972 0.5719 0.7240
Nd7 Nd 0.5028 0.4281 0.2760
Nd8 Nd 0.5824 0.0824 0.5000
Nd9 Nd 0.6521 0.9281 0.9253
Nd10 Nd 0.8479 0.7732 0.2760
Nd11 Nd 0.9176 0.4176 0.5000
Nd12 Nd 0.9972 0.2732 0.9253
Mg1 Mg 0.2500 0.7500 0.5000
Mg2 Mg 0.7500 0.2500 0.5000
# - magnetic moment (μB/cell) = 0.000
# - calculated volume (Å³ per atom) = 33.7


## x
# Pm2Nd6Mg | the Alexandria database | GGA-PBE | optimized geometry
data_Pm2Nd6Mg
_chemical_formula_sum 'Pm4 Nd12 Mg2'
_symmetry_space_group_name_H-M 'P 1'
_symmetry_Int_Tables_number 1
_symmetry_space_group_name_Hall 'P 1'
_cell_length_a 10.8558
_cell_length_b 10.8558
_cell_length_c 5.1679
_cell_angle_alpha 90.00
_cell_angle_beta 90.00
_cell_angle_gamma 90.00
loop_
_atom_site_label
_atom_site_type_symbol
_atom_site_fract_x
_atom_site_fract_y
_atom_site_fract_z
Pm1 Pm 0.1666 0.1666 0.0000
Pm2 Pm 0.3334 0.6666 0.5000
Pm3 Pm 0.6666 0.3334 0.5000
Pm4 Pm 0.8334 0.8334 0.0000
Nd1 Nd 0.0006 0.3317 0.5000
Nd2 Nd 0.1648 0.8352 0.0000
Nd3 Nd 0.1683 0.5006 0.0000
Nd4 Nd 0.3317 0.0006 0.5000
Nd5 Nd 0.3352 0.3352 0.5000
Nd6 Nd 0.4994 0.8317 0.0000
Nd7 Nd 0.5006 0.1683 0.0000
Nd8 Nd 0.6648 0.6648 0.5000
Nd9 Nd 0.6683 0.9994 0.5000
Nd10 Nd 0.8317 0.4994 0.0000
Nd11 Nd 0.8352 0.1648 0.0000
Nd12 Nd 0.9994 0.6683 0.5000
Mg1 Mg 0.0000 0.0000 0.5000
Mg2 Mg 0.5000 0.5000 0.0000
# - magnetic moment (μB/cell) = 0.000
# - calculated volume (Å³ per atom) = 33.8


Relative stability in meV/atom, measured from the most stable structure: w 45; x 0


## w
# Pm3Nd4Mg | the Alexandria database | GGA-PBE | optimized geometry
data_Pm3Nd4Mg
_chemical_formula_sum 'Pm3 Nd4 Mg1'
_symmetry_space_group_name_H-M 'P 1'
_symmetry_Int_Tables_number 1
_symmetry_space_group_name_Hall 'P 1'
_cell_length_a 4.2088
_cell_length_b 4.2088
_cell_length_c 15.1220
_cell_angle_alpha 90.00
_cell_angle_beta 90.00
_cell_angle_gamma 90.00
loop_
_atom_site_label
_atom_site_type_symbol
_atom_site_fract_x
_atom_site_fract_y
_atom_site_fract_z
Pm1 Pm 0.0000 0.0000 0.0000
Pm2 Pm 0.0000 0.0000 0.2461
Pm3 Pm 0.0000 0.0000 0.7539
Nd1 Nd 0.5000 0.5000 0.1218
Nd2 Nd 0.5000 0.5000 0.3833
Nd3 Nd 0.5000 0.5000 0.6167
Nd4 Nd 0.5000 0.5000 0.8782
Mg1 Mg 0.0000 0.0000 0.5000
# - magnetic moment (μB/cell) = 0.000
# - calculated volume (Å³ per atom) = 33.5


## x
# Pm3Nd4Mg | the Alexandria database | GGA-PBE | optimized geometry
data_Pm3Nd4Mg
_chemical_formula_sum 'Pm6 Nd8 Mg2'
_symmetry_space_group_name_H-M 'P 1'
_symmetry_Int_Tables_number 1
_symmetry_space_group_name_Hall 'P 1'
_cell_length_a 11.6316
_cell_length_b 7.2652
_cell_length_c 6.3528
_cell_angle_alpha 90.00
_cell_angle_beta 90.00
_cell_angle_gamma 90.00
loop_
_atom_site_label
_atom_site_type_symbol
_atom_site_fract_x
_atom_site_fract_y
_atom_site_fract_z
Pm1 Pm 0.0000 0.1262 0.0000
Pm2 Pm 0.2419 0.1221 0.3431
Pm3 Pm 0.2581 0.8779 0.8431
Pm4 Pm 0.5000 0.8738 0.5000
Pm5 Pm 0.7419 0.8779 0.8431
Pm6 Pm 0.7581 0.1221 0.3431
Nd1 Nd 0.0000 0.3829 0.5316
Nd2 Nd 0.0000 0.6294 0.0023
Nd3 Nd 0.2398 0.6318 0.3491
Nd4 Nd 0.2602 0.3682 0.8491
Nd5 Nd 0.5000 0.3706 0.5023
Nd6 Nd 0.5000 0.6171 0.0316
Nd7 Nd 0.7398 0.3682 0.8491
Nd8 Nd 0.7602 0.6318 0.3491
Mg1 Mg 0.0000 0.8830 0.5119
Mg2 Mg 0.5000 0.1170 0.0119
# - magnetic moment (μB/cell) = 0.000
# - calculated volume (Å³ per atom) = 33.6


Relative stability in meV/atom, measured from the most stable structure: w 64; x 0